Entry 1:
VASP calculation (PBE-GGA) on crystalline CaHoIn4 at its relaxed geometry.

Results
size of the total moment: 0.00 Bohr magnetons per cell
crystal system: orthorhombic
SG: Immm
offset from the most stable computed form: 0 meV per atom
calculated formation energy: -0.370 eV per atom
electronic total energy: -3.29 eV per atom

Cell lengths 6.2748, 6.2748, 6.2748 Å; angles 134.26, 109.11, 88.56 degrees
Atoms (fractional coordinates):
Ca 0.0000 0.0000 0.0000
Ho 0.5000 0.0000 0.5000
In 0.1127 0.3335 0.7792
In 0.4457 0.6665 0.7792
In 0.5543 0.3335 0.2208
In 0.8873 0.6665 0.2208


Entry 2:
VASP calculation (PBE-GGA) on crystalline GeTeSe at its relaxed geometry.

Results
size of the total moment: 0.00 Bohr magnetons per cell
crystal system: monoclinic
SG: C2/m
offset from the most stable computed form: 127 meV per atom
electronic total energy: -3.73 eV per atom

Cell lengths 6.0792, 6.0792, 6.2395 Å; angles 91.91, 91.91, 51.85 degrees
Atoms (fractional coordinates):
Ge 0.1216 0.1216 0.4408
Ge 0.8784 0.8784 0.5592
Te 0.3681 0.3681 0.3751
Te 0.6319 0.6319 0.6249
Se 0.1086 0.1086 0.0509
Se 0.8914 0.8914 0.9491


Entry 3:
VASP calculation (PBE-GGA) on crystalline Y2PuHg4 at its relaxed geometry.

Results
size of the total moment: 6.24 Bohr magnetons per cell
crystal system: tetragonal
SG: P4/mmm
calculated formation energy: -0.223 eV per atom
electronic total energy: -4.29 eV per atom

Cell lengths 5.2425, 5.2425, 7.1482 Å; angles 90.00, 90.00, 90.00 degrees
Atoms (fractional coordinates):
Y 0.0000 0.0000 0.0000
Y 0.5000 0.5000 0.5000
Pu 0.0000 0.0000 0.5000
Hg 0.0000 0.5000 0.2355
Hg 0.0000 0.5000 0.7645
Hg 0.5000 0.0000 0.2355
Hg 0.5000 0.0000 0.7645


Entry 4:
VASP calculation (PBE-GGA) on crystalline K2Mg4Sn3Sb at its relaxed geometry.

Results
size of the total moment: 0.00 Bohr magnetons per cell
crystal system: tetragonal
SG: P-4m2
electronic total energy: -2.70 eV per atom

Cell lengths 4.8167, 4.8167, 12.8059 Å; angles 90.00, 90.00, 90.00 degrees
Atoms (fractional coordinates):
K 0.0000 0.5000 0.2450
K 0.5000 0.0000 0.7550
Mg 0.0000 0.0000 0.0000
Mg 0.0000 0.5000 0.6444
Mg 0.5000 0.0000 0.3556
Mg 0.5000 0.5000 0.0000
Sn 0.0000 0.5000 0.8658
Sn 0.5000 0.0000 0.1342
Sn 0.5000 0.5000 0.5000
Sb 0.0000 0.0000 0.5000


Entry 5:
VASP calculation (PBE-GGA) on crystalline Zr2PbSe at its relaxed geometry.

Results
size of the total moment: 1.26 Bohr magnetons per cell
crystal system: tetragonal
SG: I-4m2
offset from the most stable computed form: 389 meV per atom
electronic total energy: -6.31 eV per atom

Cell lengths 5.9816, 5.9816, 5.9816 Å; angles 139.10, 139.10, 59.22 degrees
Atoms (fractional coordinates):
Zr 0.0000 0.0000 0.0000
Zr 0.7500 0.2500 0.5000
Pb 0.2500 0.7500 0.5000
Se 0.5000 0.5000 0.0000


Entry 6:
VASP calculation (PBE-GGA) on crystalline Te2RhSe at its relaxed geometry.

Results
size of the total moment: 0.00 Bohr magnetons per cell
crystal system: orthorhombic
SG: Amm2
electronic total energy: -4.48 eV per atom

Cell lengths 3.8581, 5.1788, 5.1788 Å; angles 63.45, 90.00, 90.00 degrees
Atoms (fractional coordinates):
Te 0.0000 0.0000 0.0000
Te 0.5000 0.2967 0.2967
Rh 0.0000 0.5031 0.5031
Se 0.5000 0.6953 0.6953